*one*
This record from Alexandria describes a relaxed TaBr2Cl crystal. The functional is PBE.

abc: 6.701 3.364 6.798
angles: 90.00 118.72 90.00
Element x y z (fractional)
Ta  0.000  0.000  0.000
Br  0.271  0.500  0.290
Br  0.635  0.000  0.998
Cl  0.993  0.500  0.736

## Properties
* V: 33.60 Å³/atom
* Fermi-level density of states: 1.25 states/eV per cell
* total magnetization: 0.0 Bohr magnetons per cell

***

*two*
This record from Alexandria describes a relaxed TaBr2Cl crystal. The functional is PBE.

abc: 5.127 3.300 5.430
angles: 90.00 112.04 90.00
Element x y z (fractional)
Ta  0.000  0.000  0.000
Br  0.000  0.500  0.500
Br  0.500  0.000  0.500
Cl  0.500  0.500  0.000

## Properties
* V: 21.29 Å³/atom
* Fermi-level density of states: 3.99 states/eV per cell
* total magnetization: 1.2 Bohr magnetons per cell

***

*three*
This record from Alexandria describes a relaxed TaBr2Cl crystal. The functional is PBE.

abc: 10.448 10.448 10.448
angles: 18.24 18.24 18.24
Element x y z (fractional)
Ta  0.000  0.000  0.000
Br  0.394  0.394  0.394
Br  0.606  0.606  0.606
Cl  0.500  0.500  0.500

## Properties
* V: 24.39 Å³/atom
* Fermi-level density of states: 3.17 states/eV per cell
* total magnetization: 0.0 Bohr magnetons per cell

***

The least stable of them is *two*.

***

*one*
This record from Alexandria describes a relaxed TaBrCl4 crystal. The functional is PBE.

abc: 5.292 7.187 13.537
angles: 90.00 112.50 90.00
Element x y z (fractional)
Ta  0.000  0.000  0.000
Ta  0.000  0.500  0.500
Br  0.500  0.000  0.000
Br  0.500  0.500  0.500
Cl  0.103  0.234  0.605
Cl  0.103  0.266  0.105
Cl  0.150  0.684  0.653
Cl  0.150  0.816  0.153
Cl  0.850  0.184  0.847
Cl  0.850  0.316  0.347
Cl  0.897  0.734  0.895
Cl  0.897  0.766  0.395

## Properties
* V: 39.63 Å³/atom
* Fermi-level density of states: 0.00 states/eV per cell
* total magnetization: 0.0 Bohr magnetons per cell

***

*two*
This record from Alexandria describes a relaxed TaBrCl4 crystal. The functional is PBE.

abc: 5.628 5.628 5.628
angles: 60.00 60.00 60.00
Element x y z (fractional)
Ta  0.000  0.000  0.000
Br  0.750  0.750  0.750
Cl  0.374  0.374  0.374
Cl  0.374  0.374  0.877
Cl  0.374  0.877  0.374
Cl  0.877  0.374  0.374

## Properties
* V: 21.01 Å³/atom
* Fermi-level density of states: 8.34 states/eV per cell
* total magnetization: 1.7 Bohr magnetons per cell

***

The least stable of them is *two*.